Entry 1:
The following is a DFT calculation (PBE) of an optimized crystal structure of LiTmAl2Cu4.

## Properties
Its total energy is -4.0553 eV per atom. Its space group is No. 166. The formation energy comes out at -0.27 eV/atom.

Geometry as POSCAR:
```
LiTmAl2Cu4
1.0
4.2314 0.0000 0.0000
2.1157 3.6645 0.0000
2.1157 1.2215 7.7459
Li Tm Al Cu
1 1 2 4
Direct
0.5000 0.5000 0.5000
0.0000 0.0000 0.0000
0.7584 0.7584 0.7249
0.2416 0.2416 0.2751
0.3982 0.3982 0.8054
0.8721 0.8721 0.3837
0.1279 0.1279 0.6163
0.6018 0.6018 0.1946
```

---

Entry 2:
The following is a DFT calculation (PBE) of an optimized crystal structure of Li2AlVCu.

## Properties
Its total energy is -3.5513 eV per atom. Its space group is No. 123. The formation energy comes out at 0.61 eV/atom.

Geometry as POSCAR:
```
Li2AlVCu
1.0
4.2725 0.0000 0.0000
0.0000 4.8326 0.0000
0.0000 0.0000 4.2725
Li Al Cu V
2 1 1 1
Direct
0.0000 0.0000 0.5000
0.5000 0.0000 0.0000
0.5000 0.5000 0.5000
0.0000 0.0000 0.0000
0.0000 0.5000 0.0000
```

---

Entry 3:
The following is a DFT calculation (PBE) of an optimized crystal structure of LiYAl2Cu4.

## Properties
Its total energy is -4.3037 eV per atom. Its space group is No. 166. The formation energy comes out at -0.27 eV/atom.

Geometry as POSCAR:
```
LiYAl2Cu4
1.0
4.2261 0.0000 0.0000
2.1131 3.6599 0.0000
2.1131 1.2200 7.9218
Li Y Al Cu
1 1 2 4
Direct
0.5000 0.5000 0.5000
0.0000 0.0000 0.0000
0.7599 0.7599 0.7203
0.2401 0.2401 0.2797
0.4014 0.4014 0.7957
0.8710 0.8710 0.3870
0.1290 0.1290 0.6130
0.5986 0.5986 0.2043
```

---

Entry 4:
The following is a DFT calculation (PBE) of an optimized crystal structure of Li2AlZn2Cu2.

## Properties
Its total energy is -2.7446 eV per atom. Its space group is No. 12. The formation energy comes out at -0.13 eV/atom.

Geometry as POSCAR:
```
Li2AlZn2Cu2
1.0
-2.3459 -1.5839 -3.2190
-0.0760 -1.8570 3.8231
-3.7146 5.3730 0.0633
Li Al Zn Cu
2 1 2 2
Direct
0.7237 0.4474 0.6665
0.2763 0.5526 0.3335
0.0000 0.0000 0.5000
0.4309 0.8619 0.7863
0.5691 0.1381 0.2137
0.8606 0.7212 0.0864
0.1394 0.2788 0.9136
```

---

Entry 5:
The following is a DFT calculation (PBE) of an optimized crystal structure of LiAlZnCu2.

## Properties
Its total energy is -3.1270 eV per atom. Its space group is No. 63. The formation energy comes out at -0.10 eV/atom.

Geometry as POSCAR:
```
LiAlZnCu2
1.0
-1.3698 -2.2136 3.2428
2.2117 -2.7702 -3.6231
6.6758 0.8673 3.4120
Li Al Zn Cu
2 2 2 4
Direct
0.0358 0.0716 0.7500
0.9642 0.9284 0.2500
0.6866 0.3731 0.2500
0.3134 0.6269 0.7500
0.5000 0.0000 0.5000
0.5000 0.0000 0.0000
0.2035 0.4070 0.0707
0.7965 0.5930 0.5707
0.2035 0.4070 0.4293
0.7965 0.5930 0.9293
```

---

Entry 6:
The following is a DFT calculation (PBE) of an optimized crystal structure of LiAl2ZnCu5.

## Properties
Its total energy is -3.5490 eV per atom. Its space group is No. 36. The formation energy comes out at -0.09 eV/atom.

Geometry as POSCAR:
```
LiAl2ZnCu5
1.0
3.4871 0.0000 0.0000
-1.7435 7.1367 0.0000
0.0000 0.0000 10.1499
Li Al Zn Cu
2 4 2 10
Direct
0.7439 0.4878 0.4899
0.2561 0.5122 0.9899
0.8907 0.7814 0.8590
0.1275 0.2549 0.6650
0.1093 0.2186 0.3590
0.8725 0.7451 0.1650
0.6153 0.2306 0.9546
0.3847 0.7694 0.4546
0.4463 0.8927 0.0160
0.7224 0.4448 0.7727
0.5095 0.0191 0.7648
0.3247 0.6493 0.6865
0.9428 0.8857 0.6154
0.5537 0.1073 0.5160
0.2776 0.5552 0.2727
0.4905 0.9809 0.2648
0.6753 0.3507 0.1865
0.0572 0.1143 0.1154
```